Computed, not measured: crystalline CeNd2YTm at its relaxed geometry at the GGA-PBE level of DFT.

Lattice parameters (Å, degrees): 6.713 8.239 6.105 90.00 90.06 90.00
Element x y z (fractional)
Ce  0.000  0.000  0.000
Ce  0.000  0.000  0.500
Nd  0.265  0.306  0.250
Nd  0.265  0.694  0.750
Nd  0.735  0.306  0.250
Nd  0.735  0.694  0.750
Y  0.000  0.356  0.750
Y  0.000  0.644  0.250
Tm  0.500  0.119  0.750
Tm  0.500  0.881  0.250

Results
- energy of formation (eV/atom) = 0.28
- magnetization (μB per cell) = 1.10
- calculated density (g cm⁻³) = 6.8
- space group = P2/c, No. 13

Computed, not measured: crystalline ZnAsAuC2 at its relaxed geometry at the GGA-PBE level of DFT.

Lattice parameters (Å, degrees): 3.970 3.970 5.716 90.00 90.00 90.00
Element x y z (fractional)
Zn  0.000  0.000  0.000
As  0.500  0.500  0.000
Au  0.500  0.500  0.500
C  0.000  0.500  0.500
C  0.500  0.000  0.500

Results
- energy of formation (eV/atom) = 2.07
- magnetization (μB per cell) = 0.00
- calculated density (g cm⁻³) = 6.7
- space group = P4/mmm, No. 123

Computed, not measured: crystalline CaBi2Pb2 at its relaxed geometry at the GGA-PBE level of DFT.

Lattice parameters (Å, degrees): 8.924 8.924 8.924 150.35 150.35 42.43
Element x y z (fractional)
Ca  0.000  0.000  0.000
Bi  0.407  0.407  0.000
Bi  0.593  0.593  0.000
Pb  0.250  0.750  0.500
Pb  0.750  0.250  0.500

Results
- energy of formation (eV/atom) = -0.20
- magnetization (μB per cell) = 0.00
- calculated density (g cm⁻³) = 8.3
- space group = I4/mmm, No. 139

Computed, not measured: crystalline Ho4Co4Si at its relaxed geometry at the GGA-PBE level of DFT.

Lattice parameters (Å, degrees): 8.020 8.020 5.375 90.00 90.00 90.00
Element x y z (fractional)
Ho  0.039  0.687  0.111
Ho  0.187  0.961  0.611
Ho  0.313  0.539  0.611
Ho  0.461  0.813  0.111
Ho  0.539  0.187  0.889
Ho  0.687  0.461  0.389
Ho  0.813  0.039  0.389
Ho  0.961  0.313  0.889
Co  0.020  0.372  0.396
Co  0.128  0.020  0.104
Co  0.372  0.480  0.104
Co  0.480  0.128  0.396
Co  0.520  0.872  0.604
Co  0.628  0.520  0.896
Co  0.872  0.980  0.896
Co  0.980  0.628  0.604
Si  0.250  0.250  0.250
Si  0.750  0.750  0.750

Results
- E_form (uncorrected) (kcal/mol of atoms) = -6.52
- magnetization (μB per cell) = 0.00
- calculated density (g cm⁻³) = 8.9
- space group = P4_2/n, No. 86

Number 1: density of states at the Fermi level 2.19 states/eV/atom. Number 2: density of states at the Fermi level 0.41 states/eV/atom. Number 3: density of states at the Fermi level 0.75 states/eV/atom. Number 4: density of states at the Fermi level 0.85 states/eV/atom.